This record from Alexandria describes crystalline TbNpSe2N at its relaxed geometry. The functional is PBE.

Values from the calculation:
Formation energy (no corrections)   -1.5231 eV per atom
Raw total energy   -8.10 eV/atom
Magnetic moment   5.55 μB per cell

```
TbNpSe2N
1.0
3.928 0.000 0.000
0.000 3.928 0.000
0.000 0.000 14.534
Tb Np Se N
2 2 4 2
direct
0.500 0.000 0.126
0.000 0.500 0.874
0.500 0.000 0.577
0.000 0.500 0.423
0.000 0.500 0.686
0.000 0.500 0.089
0.500 0.000 0.911
0.500 0.000 0.314
0.000 0.000 0.500
0.500 0.500 0.500
```

This record from Alexandria describes crystalline TbNp2Se2N2 at its relaxed geometry. The functional is PBE.

Values from the calculation:
Formation energy (no corrections)   -1.3966 eV per atom
Raw total energy   -9.13 eV/atom
Magnetic moment   7.01 μB per cell

```
TbNp2Se2N2
1.0
-1.042 3.704 -0.364
-3.555 0.440 -5.868
-6.480 -1.838 -0.148
Tb Np Se N
1 2 2 2
direct
0.000 0.000 0.000
0.783 0.434 0.324
0.217 0.566 0.676
0.589 0.822 0.815
0.411 0.178 0.185
0.806 0.388 0.672
0.194 0.612 0.328
```

This record from Alexandria describes crystalline TbNpSeN2 at its relaxed geometry. The functional is PBE.

Values from the calculation:
Formation energy (no corrections)   -1.4057 eV per atom
Raw total energy   -8.95 eV/atom
Magnetic moment   2.00 μB per cell

```
TbNpSeN2
1.0
-3.622 1.166 0.341
-0.594 -0.765 -3.695
0.416 -5.881 3.125
Tb Np Se N
1 1 1 2
direct
0.848 0.848 0.696
0.163 0.163 0.325
0.503 0.503 0.005
0.743 0.243 0.487
0.243 0.743 0.487
```

> What is the formula in the second record?

TbNp2Se2N2

> Among the records above, which one has the highest raw total energy?

TbNpSe2N

What did the third record say?
This record from Alexandria describes crystalline TbNpSeN2 at its relaxed geometry. The functional is PBE.

Values from the calculation:
Formation energy (no corrections)   -1.4057 eV per atom
Raw total energy   -8.95 eV/atom
Magnetic moment   2.00 μB per cell

```
TbNpSeN2
1.0
-3.622 1.166 0.341
-0.594 -0.765 -3.695
0.416 -5.881 3.125
Tb Np Se N
1 1 1 2
direct
0.848 0.848 0.696
0.163 0.163 0.325
0.503 0.503 0.005
0.743 0.243 0.487
0.243 0.743 0.487
```